Entry 1:
DFT (GGA-PBEsol) results for an optimized crystal structure of Zr2CrIn.

a b c (Å): 3.204 4.882 5.735
angles (deg): 115.19 106.22 90.00
Each line ends with the local moment (μB).
Fractional positions:
Cr (0.504, 0.504, 0.007)  1.87
In (0.776, 0.276, 0.552)  -0.02
Zr (0.999, 0.999, 0.998)  -0.18
Zr (0.221, 0.721, 0.442)  -0.15

Output
Magnetic moment   1.48 μB/f.u.
Total DFT energy (no corrections)   -7.775 eV/atom

Entry 2:
DFT (GGA-PBEsol) results for an optimized crystal structure of CrIr3.

a b c (Å): 2.700 4.263 4.657
angles (deg): 90.00 90.00 90.00
Fractional positions:
Cr (0.000, 0.000, 0.004)
Ir (0.000, 0.500, 0.329)
Ir (0.500, 0.000, 0.497)
Ir (0.500, 0.500, 0.837)

Output
Magnetic moment   0.00 μB/f.u.
Total DFT energy (no corrections)   -10.090 eV/atom

Entry 3:
DFT (GGA-PBEsol) results for an optimized crystal structure of CrIr3.

a b c (Å): 3.778 3.778 3.778
angles (deg): 90.00 90.00 90.00
Each line ends with the local moment (μB).
Fractional positions:
Cr (0.000, 0.000, 0.000)  1.59
Ir (0.000, 0.500, 0.500)  -0.18
Ir (0.500, 0.500, 0.000)  -0.18
Ir (0.500, 0.000, 0.500)  -0.18

Output
Magnetic moment   1.11 μB/f.u.
Total DFT energy (no corrections)   -10.145 eV/atom

Entry 4:
DFT (GGA-PBEsol) results for an optimized crystal structure of CrIr3.

a b c (Å): 4.261 5.378 5.378
angles (deg): 120.00 90.00 90.00
Each line ends with the local moment (μB).
Fractional positions:
Cr (0.750, 0.667, 0.333)  0.57
Cr (0.250, 0.333, 0.667)  0.57
Ir (0.250, 0.338, 0.169)  -0.07
Ir (0.250, 0.831, 0.169)  -0.07
Ir (0.250, 0.831, 0.662)  -0.07
Ir (0.750, 0.662, 0.831)  -0.07
Ir (0.750, 0.169, 0.831)  -0.07
Ir (0.750, 0.169, 0.338)  -0.07

Output
Magnetic moment   0.39 μB/f.u.
Total DFT energy (no corrections)   -10.160 eV/atom

Entry 5:
DFT (GGA-PBEsol) results for an optimized crystal structure of CrIr3.

a b c (Å): 2.688 4.615 4.615
angles (deg): 109.22 90.00 90.00
Each line ends with the local moment (μB).
Fractional positions:
Cr (0.000, 0.000, 0.000)  1.38
Ir (0.500, 0.000, 0.500)  -0.10
Ir (0.500, 0.500, 0.000)  -0.10
Ir (0.000, 0.500, 0.500)  -0.03

Output
Magnetic moment   1.23 μB/f.u.
Total DFT energy (no corrections)   -10.053 eV/atom

Entry 6:
DFT (GGA-PBEsol) results for an optimized crystal structure of CrIr5.

a b c (Å): 2.691 2.691 11.285
angles (deg): 90.00 90.00 90.00
Fractional positions:
Cr (0.500, 0.500, 0.000)
Ir (0.000, 0.000, 0.845)
Ir (0.000, 0.000, 0.155)
Ir (0.500, 0.500, 0.669)
Ir (0.500, 0.500, 0.331)
Ir (0.000, 0.000, 0.500)

Output
Magnetic moment   0.00 μB/f.u.
Total DFT energy (no corrections)   -9.967 eV/atom

Entry 7:
DFT (GGA-PBEsol) results for an optimized crystal structure of CrIr5.

a b c (Å): 2.710 4.303 7.150
angles (deg): 90.00 100.92 90.00
Fractional positions:
Cr (0.001, 0.000, 0.002)
Ir (0.778, 0.500, 0.556)
Ir (0.661, 0.000, 0.323)
Ir (0.447, 0.500, 0.893)
Ir (0.338, 0.000, 0.675)
Ir (0.109, 0.500, 0.218)

Output
Magnetic moment   0.00 μB/f.u.
Total DFT energy (no corrections)   -9.998 eV/atom

Entry 8:
DFT (GGA-PBEsol) results for an optimized crystal structure of CrIr5.

a b c (Å): 2.704 5.088 6.361
angles (deg): 103.61 90.00 105.41
Fractional positions:
Cr (0.000, 0.000, 0.998)
Ir (0.391, 0.782, 0.270)
Ir (0.663, 0.326, 0.326)
Ir (0.055, 0.111, 0.614)
Ir (0.338, 0.677, 0.679)
Ir (0.719, 0.438, 0.947)

Output
Magnetic moment   0.00 μB/f.u.
Total DFT energy (no corrections)   -9.991 eV/atom

Entry 9:
DFT (GGA-PBEsol) results for an optimized crystal structure of CrIr5.

a b c (Å): 4.291 4.689 4.689
angles (deg): 120.00 90.00 90.00
Fractional positions:
Cr (0.500, 0.000, 0.000)
Ir (0.000, 0.329, 0.329)
Ir (0.000, 0.671, 0.000)
Ir (0.000, 0.000, 0.671)
Ir (0.500, 0.333, 0.667)
Ir (0.500, 0.667, 0.333)

Output
Magnetic moment   0.00 μB/f.u.
Total DFT energy (no corrections)   -10.010 eV/atom

Entry 10:
DFT (GGA-PBEsol) results for an optimized crystal structure of KCrIr.

a b c (Å): 2.792 3.760 6.509
angles (deg): 106.79 102.38 90.00
Each line ends with the local moment (μB).
Fractional positions:
Cr (0.055, 0.055, 0.109)  2.40
Ir (0.617, 0.617, 0.234)  -0.14
K (0.329, 0.329, 0.657)  0.02

Output
Magnetic moment   2.62 μB/f.u.
Total DFT energy (no corrections)   -6.447 eV/atom

Entry 11:
DFT (GGA-PBEsol) results for an optimized crystal structure of KCrIr.

a b c (Å): 4.532 4.532 4.532
angles (deg): 60.00 60.00 60.00
Each line ends with the local moment (μB).
Fractional positions:
Cr (0.500, 0.500, 0.500)  3.50
Ir (0.750, 0.750, 0.750)  -0.31
K (0.000, 0.000, 0.000)  0.03

Output
Magnetic moment   3.82 μB/f.u.
Total DFT energy (no corrections)   -5.560 eV/atom

Entry 12:
DFT (GGA-PBEsol) results for an optimized crystal structure of LaCrIr.

a b c (Å): 4.599 4.599 4.599
angles (deg): 60.00 60.00 60.00
Each line ends with the local moment (μB).
Fractional positions:
Cr (0.500, 0.500, 0.500)  3.47
Ir (0.250, 0.250, 0.250)  0.06
La (0.000, 0.000, 0.000)  0.04

Output
Magnetic moment   3.92 μB/f.u.
Total DFT energy (no corrections)   -8.186 eV/atom

Entry 13:
DFT (GGA-PBEsol) results for an optimized crystal structure of LaCr2Ir.

a b c (Å): 2.811 4.272 5.876
angles (deg): 90.00 102.32 90.00
Fractional positions:
Cr (0.829, 0.000, 0.841)
Cr (0.171, 0.000, 0.159)
Ir (0.500, 0.500, 0.000)
La (0.000, 0.500, 0.500)

Output
Magnetic moment   0.00 μB/f.u.
Total DFT energy (no corrections)   -8.546 eV/atom

Entry 14:
DFT (GGA-PBEsol) results for an optimized crystal structure of La2CrIr.

a b c (Å): 3.936 4.888 5.740
angles (deg): 115.20 110.05 90.00
Each line ends with the local moment (μB).
Fractional positions:
Cr (0.566, 0.566, 0.132)  1.33
Ir (0.185, 0.685, 0.371)  -0.07
La (0.972, 0.972, 0.944)  -0.06
La (0.777, 0.277, 0.554)  -0.05

Output
Magnetic moment   1.22 μB/f.u.
Total DFT energy (no corrections)   -7.628 eV/atom

Entry 15:
DFT (GGA-PBEsol) results for an optimized crystal structure of LaCr2Ir.

a b c (Å): 2.781 2.781 9.599
angles (deg): 81.67 81.67 60.00
Fractional positions:
Cr (0.238, 0.238, 0.286)
Cr (0.762, 0.762, 0.714)
Ir (0.500, 0.500, 0.500)
La (0.000, 0.000, 0.000)

Output
Magnetic moment   0.00 μB/f.u.
Total DFT energy (no corrections)   -8.157 eV/atom

Entry 16:
DFT (GGA-PBEsol) results for an optimized crystal structure of LiCr2Ir.

a b c (Å): 2.819 4.240 4.240
angles (deg): 90.00 90.00 90.00
Each line ends with the local moment (μB).
Fractional positions:
Cr (0.000, 0.000, 0.500)  1.94
Cr (0.000, 0.500, 0.000)  1.94
Ir (0.500, 0.500, 0.500)  -0.10
Li (0.500, 0.000, 0.000)  -0.01

Output
Magnetic moment   4.01 μB/f.u.
Total DFT energy (no corrections)   -7.740 eV/atom

Entry 17:
DFT (GGA-PBEsol) results for an optimized crystal structure of LiCr2Ir.

a b c (Å): 2.833 3.868 4.849
angles (deg): 113.51 106.99 90.00
Fractional positions:
Cr (0.753, 0.753, 0.506)
Cr (0.247, 0.247, 0.494)
Ir (0.500, 0.000, 0.000)
Li (0.000, 0.500, 0.000)

Output
Magnetic moment   0.00 μB/f.u.
Total DFT energy (no corrections)   -7.970 eV/atom

Entry 18:
DFT (GGA-PBEsol) results for an optimized crystal structure of LiCr2Ir.

a b c (Å): 4.081 4.081 4.081
angles (deg): 60.00 60.00 60.00
Each line ends with the local moment (μB).
Fractional positions:
Cr (0.000, 0.000, 0.000)  2.42
Cr (0.250, 0.250, 0.250)  -1.00
Ir (0.500, 0.500, 0.500)  0.20
Li (0.750, 0.750, 0.750)  0.01

Output
Magnetic moment   1.82 μB/f.u.
Total DFT energy (no corrections)   -7.990 eV/atom

Entry 19:
DFT (GGA-PBEsol) results for an optimized crystal structure of LiCr2Ir.

a b c (Å): 4.729 5.301 5.301
angles (deg): 78.52 63.51 63.51
Fractional positions:
Cr (0.102, 0.023, 0.523)
Cr (0.648, 0.977, 0.477)
Cr (0.375, 0.523, 0.977)
Cr (0.875, 0.477, 0.023)
Ir (0.750, 0.500, 0.500)
Ir (0.000, 0.000, 0.000)
Li (0.250, 0.500, 0.500)
Li (0.500, 0.000, 0.000)

Output
Magnetic moment   0.00 μB/f.u.
Total DFT energy (no corrections)   -7.365 eV/atom

Entry 20:
DFT (GGA-PBEsol) results for an optimized crystal structure of LiCrIr.

a b c (Å): 3.851 3.851 3.851
angles (deg): 60.00 60.00 60.00
Each line ends with the local moment (μB).
Fractional positions:
Cr (0.000, 0.000, 0.000)  2.90
Ir (0.500, 0.500, 0.500)  -0.13
Li (0.250, 0.250, 0.250)  0.01

Output
Magnetic moment   3.02 μB/f.u.
Total DFT energy (no corrections)   -6.489 eV/atom

| no. | calculated density (g cm⁻³) | formation enthalpy at 0 K (eV per atom) |
| --- | --- | --- |
| 1 | 7.51 | 0.08 |
| 2 | 19.47 | -0.16 |
| 3 | 19.36 | -0.22 |
| 4 | 19.56 | -0.23 |
| 5 | 19.31 | -0.12 |
| 6 | 20.59 | -0.07 |
| 7 | 20.55 | -0.10 |
| 8 | 20.56 | -0.10 |
| 9 | 20.59 | -0.12 |
| 10 | 7.38 | 0.62 |
| 11 | 7.15 | 1.51 |
| 12 | 9.25 | 0.28 |
| 13 | 10.48 | 0.37 |
| 14 | 9.38 | 0.06 |
| 15 | 11.40 | 0.76 |
| 16 | 9.93 | 0.33 |
| 17 | 10.90 | 0.10 |
| 18 | 10.47 | 0.08 |
| 19 | 9.46 | 0.70 |
| 20 | 10.32 | 0.85 |